Run A
The following is a DFT calculation (PBE-GGA) of a geometry-optimized Ca2HfSe2 structure.

## Properties
- Calculated volume: 234.18 Å³/cell
- SG: P4/mbm
- DOS at the Fermi energy: 0.519 states/eV/atom
- Spin magnetization: 0.94 μB/f.u.

Geometry as POSCAR:
```
Ca2HfSe2
1.0
7.702 0.000 0.000
0.000 7.702 0.000
0.000 0.000 3.948
Ca Hf Se
4 2 4
Cartesian
1.172 2.679 0.000
2.679 6.530 0.000
5.023 1.172 0.000
6.530 5.023 0.000
0.000 0.000 1.974
3.851 3.851 1.974
1.230 5.081 1.974
2.621 1.230 1.974
5.081 6.472 1.974
6.472 2.621 1.974
```

=====

Run B
The following is a DFT calculation (PBE-GGA) of a geometry-optimized Ca2HfSe2 structure.

## Properties
- Calculated volume: 121.38 Å³/cell
- SG: I4/mmm
- DOS at the Fermi energy: 0.833 states/eV/atom
- Spin magnetization: 0.00 μB/f.u.

Geometry as POSCAR:
```
Ca2HfSe2
1.0
-2.126 2.126 6.713
2.126 -2.126 6.713
2.126 2.126 -6.713
Ca Hf Se
2 1 2
Cartesian
2.126 0.000 3.357
0.000 2.126 3.357
0.000 0.000 0.000
0.000 0.000 5.277
0.000 0.000 8.149
```

=====

The structure shown above that is most stable: run A.